No. 1
Density functional theory data (PBE) for a relaxed structure of AlSnPt3.

Lattice parameters (Å, degrees): 4.6478 4.6478 4.6478 90.00 90.00 90.00
Fractional coordinates of all 5 atoms:
Al1 0.0000 0.0000 0.0000
Pt1 0.0000 0.0000 0.5000
Pt2 0.5000 0.0000 0.0000
Pt3 0.0000 0.5000 0.0000
Sn1 0.5000 0.5000 0.5000

- M_tot (μB per formula unit) = 0.00
- crystal system = cubic
- E above lowest polymorph (meV per atom) = 0
- formation energy (meV/atom) = 116
- symmetry = No. 221
- E (eV per atom) = -5.06

***

No. 2
Density functional theory data (PBE) for a relaxed structure of AlSnPt4.

Lattice parameters (Å, degrees): 5.7216 6.6412 7.1914 117.51 112.07 89.99
Fractional coordinates of all 12 atoms:
Pt1 0.6196 0.1224 0.2372
Pt2 0.8804 0.8852 0.7629
Pt3 0.8804 0.3776 0.7628
Pt4 0.3804 0.8776 0.7628
Pt5 0.1196 0.1148 0.2371
Pt6 0.3804 0.3852 0.7629
Pt7 0.6196 0.6148 0.2371
Pt8 0.1196 0.6224 0.2372
Sn1 0.0000 0.5000 0.5000
Sn2 0.5000 0.0000 0.5000
Al1 0.7500 0.7500 0.0000
Al2 0.2500 0.2500 0.0000

- M_tot (μB per formula unit) = 0.00
- crystal system = monoclinic
- formation energy (meV/atom) = -545
- symmetry = No. 12
- E (eV per atom) = -5.86